(A)
Below is an optimized crystal structure of Ba2Ga2Hg, with properties calculated at the GGA-PBE level.

Cell: 6.382 6.382 12.003 Å, 114.18 114.18 47.83°
Sites, in units of the cell vectors:
Ba 0.088 0.088 0.382
Ba 0.305 0.305 0.832
Ba 0.695 0.695 0.168
Ba 0.912 0.912 0.618
Ga 0.078 0.078 0.950
Ga 0.395 0.395 0.401
Ga 0.605 0.605 0.599
Ga 0.922 0.922 0.050
Hg 0.382 0.382 0.151
Hg 0.618 0.618 0.849

Results
Density of states at the Fermi level = 6.74 states/eV per cell
Space group = C2/m (12)

=====

(B)
Below is an optimized crystal structure of Ba2Ga2Hg, with properties calculated at the GGA-PBE level.

Cell: 6.286 6.286 6.286 Å, 117.58 117.58 94.25°
Sites, in units of the cell vectors:
Ba 0.250 0.750 0.500
Ba 0.750 0.250 0.500
Ga 0.141 0.141 0.000
Ga 0.859 0.859 0.000
Hg 0.500 0.500 0.000

Results
Density of states at the Fermi level = 4.66 states/eV per cell
Space group = I4/mmm (139)

=====

Relative energies with respect to the most stable structure, expressed in meV/atom: (A) 0; (B) 180.

=====

(A)
Below is an optimized crystal structure of Ba8GaHg2, with properties calculated at the GGA-PBE level.

Cell: 9.261 9.261 7.420 Å, 101.20 101.20 112.00°
Sites, in units of the cell vectors:
Ba 0.000 0.000 0.000
Ba 0.009 0.270 0.596
Ba 0.156 0.557 0.200
Ba 0.270 0.009 0.596
Ba 0.423 0.690 0.824
Ba 0.557 0.156 0.200
Ba 0.690 0.423 0.824
Ba 0.699 0.699 0.381
Ga 0.347 0.347 0.980
Hg 0.026 0.657 0.693
Hg 0.657 0.026 0.693

Results
Density of states at the Fermi level = 16.26 states/eV per cell
Space group = Cm (8)

=====

(B)
Below is an optimized crystal structure of Ba8GaHg2, with properties calculated at the GGA-PBE level.

Cell: 10.998 10.998 8.324 Å, 106.92 106.92 31.67°
Sites, in units of the cell vectors:
Ba 0.033 0.033 0.305
Ba 0.205 0.205 0.819
Ba 0.335 0.335 0.534
Ba 0.409 0.409 0.065
Ba 0.591 0.591 0.935
Ba 0.665 0.665 0.466
Ba 0.795 0.795 0.181
Ba 0.967 0.967 0.695
Ga 0.500 0.500 0.500
Hg 0.186 0.186 0.211
Hg 0.814 0.814 0.789

Results
Density of states at the Fermi level = 14.93 states/eV per cell
Space group = C2/m (12)

=====

Relative energies with respect to the most stable structure, expressed in meV/atom: (A) 41; (B) 0.

=====

(A)
Below is an optimized crystal structure of Ba2GaHg2, with properties calculated at the GGA-PBE level.

Cell: 9.441 9.441 4.234 Å, 90.00 90.00 90.00°
Sites, in units of the cell vectors:
Ba 0.165 0.335 0.000
Ba 0.335 0.835 0.000
Ba 0.665 0.165 0.000
Ba 0.835 0.665 0.000
Ga 0.000 0.000 0.000
Ga 0.500 0.500 0.000
Hg 0.131 0.631 0.500
Hg 0.369 0.131 0.500
Hg 0.631 0.869 0.500
Hg 0.869 0.369 0.500

Results
Density of states at the Fermi level = 12.44 states/eV per cell
Space group = P4/mbm (127)

=====

(B)
Below is an optimized crystal structure of Ba2GaHg2, with properties calculated at the GGA-PBE level.

Cell: 8.888 8.888 4.487 Å, 90.00 90.00 90.00°
Sites, in units of the cell vectors:
Ba 0.180 0.320 0.000
Ba 0.320 0.820 0.000
Ba 0.680 0.180 0.000
Ba 0.820 0.680 0.000
Ga 0.000 0.000 0.500
Ga 0.500 0.500 0.500
Hg 0.123 0.623 0.500
Hg 0.377 0.123 0.500
Hg 0.623 0.877 0.500
Hg 0.877 0.377 0.500

Results
Density of states at the Fermi level = 9.06 states/eV per cell
Space group = P4/mbm (127)

=====

Relative energies with respect to the most stable structure, expressed in meV/atom: (A) 118; (B) 0.

=====

(A)
Below is an optimized crystal structure of BaGaHg2Ir, with properties calculated at the GGA-PBE level.

Cell: 5.051 5.051 6.384 Å, 90.00 90.00 90.00°
Sites, in units of the cell vectors:
Ba 0.000 0.000 0.000
Ga 0.000 0.000 0.500
Hg 0.000 0.500 0.500
Hg 0.500 0.000 0.500
Ir 0.500 0.500 0.000

Results
Density of states at the Fermi level = 5.35 states/eV per cell
Space group = P4/mmm (123)

=====

(B)
Below is an optimized crystal structure of BaGaHg2Ir, with properties calculated at the GGA-PBE level.

Cell: 5.356 5.356 4.819 Å, 90.00 90.00 90.00°
Sites, in units of the cell vectors:
Ba 0.000 0.000 0.000
Ga 0.500 0.500 0.000
Hg 0.000 0.500 0.500
Hg 0.500 0.000 0.500
Ir 0.500 0.500 0.500

Results
Density of states at the Fermi level = 2.11 states/eV per cell
Space group = P4/mmm (123)

=====

Relative energies with respect to the most stable structure, expressed in meV/atom: (A) 1034; (B) 0.

=====

(A)
Below is an optimized crystal structure of BaGa2HgIr, with properties calculated at the GGA-PBE level.

Cell: 4.889 4.889 6.110 Å, 90.00 90.00 90.00°
Sites, in units of the cell vectors:
Ba 0.000 0.000 0.000
Ga 0.000 0.500 0.500
Ga 0.500 0.000 0.500
Hg 0.500 0.500 0.000
Ir 0.000 0.000 0.500

Results
Density of states at the Fermi level = 1.95 states/eV per cell
Space group = P4/mmm (123)

=====

(B)
Below is an optimized crystal structure of BaGa2HgIr, with properties calculated at the GGA-PBE level.

Cell: 4.868 4.868 5.370 Å, 90.00 90.00 90.00°
Sites, in units of the cell vectors:
Ba 0.000 0.000 0.000
Ga 0.000 0.500 0.500
Ga 0.500 0.000 0.500
Hg 0.500 0.500 0.000
Ir 0.500 0.500 0.500

Results
Density of states at the Fermi level = 3.69 states/eV per cell
Space group = P4/mmm (123)

=====

Relative energies with respect to the most stable structure, expressed in meV/atom: (A) 89; (B) 0.

=====

(A)
Below is an optimized crystal structure of BaMgGaHg2, with properties calculated at the GGA-PBE level.

Cell: 7.103 7.103 7.103 Å, 141.48 141.48 55.61°
Sites, in units of the cell vectors:
Ba 0.000 0.000 0.000
Mg 0.250 0.750 0.500
Ga 0.750 0.250 0.500
Hg 0.379 0.379 0.000
Hg 0.621 0.621 0.000

Results
Density of states at the Fermi level = 3.41 states/eV per cell
Space group = I-4m2 (119)

=====

(B)
Below is an optimized crystal structure of BaMgGaHg2, with properties calculated at the GGA-PBE level.

Cell: 6.407 6.407 6.277 Å, 90.00 90.00 90.00°
Sites, in units of the cell vectors:
Ba 0.000 0.000 0.000
Mg 0.500 0.500 0.500
Ga 0.000 0.000 0.500
Hg 0.000 0.500 0.000
Hg 0.500 0.000 0.000

Results
Density of states at the Fermi level = 6.62 states/eV per cell
Space group = P4/mmm (123)

=====

Relative energies with respect to the most stable structure, expressed in meV/atom: (A) 0; (B) 927.

=====

(A)
Below is an optimized crystal structure of BaZnGaHg2, with properties calculated at the GGA-PBE level.

Cell: 5.334 5.334 5.037 Å, 90.00 90.00 90.00°
Sites, in units of the cell vectors:
Ba 0.000 0.000 0.000
Zn 0.500 0.500 0.500
Ga 0.500 0.500 0.000
Hg 0.000 0.500 0.500
Hg 0.500 0.000 0.500

Results
Density of states at the Fermi level = 3.56 states/eV per cell
Space group = P4/mmm (123)

=====

(B)
Below is an optimized crystal structure of BaZnGaHg2, with properties calculated at the GGA-PBE level.

Cell: 5.392 5.392 5.044 Å, 90.00 90.00 90.00°
Sites, in units of the cell vectors:
Ba 0.000 0.000 0.000
Zn 0.500 0.500 0.000
Ga 0.500 0.500 0.500
Hg 0.000 0.500 0.500
Hg 0.500 0.000 0.500

Results
Density of states at the Fermi level = 3.48 states/eV per cell
Space group = P4/mmm (123)

=====

Relative energies with respect to the most stable structure, expressed in meV/atom: (A) 0; (B) 23.

=====

(A)
Below is an optimized crystal structure of BaGa2I, with properties calculated at the GGA-PBE level.

Cell: 5.653 5.653 5.653 Å, 60.00 60.00 60.00°
Sites, in units of the cell vectors:
Ba 0.000 0.000 0.000
Ga 0.250 0.250 0.250
Ga 0.750 0.750 0.750
I 0.500 0.500 0.500

Results
Density of states at the Fermi level = 2.58 states/eV per cell
Space group = Fm-3m (225)

=====

(B)
Below is an optimized crystal structure of BaGa2I, with properties calculated at the GGA-PBE level.

Cell: 7.344 7.344 7.344 Å, 101.83 101.83 126.14°
Sites, in units of the cell vectors:
Ba 0.000 0.000 0.000
Ba 0.750 0.250 0.500
Ga 0.145 0.625 0.020
Ga 0.375 0.395 0.520
Ga 0.605 0.125 0.980
Ga 0.875 0.855 0.480
I 0.250 0.750 0.500
I 0.500 0.500 0.000

Results
Density of states at the Fermi level = 5.02 states/eV per cell
Space group = I-42d (122)

=====

Relative energies with respect to the most stable structure, expressed in meV/atom: (A) 83; (B) 0.